Be2Si2Hg: optimized geometry, PBE-GGA.

## Properties
Space group: I4/mmm (139)
Formation energy from raw total energies in eV per atom: 0.40
E_tot in eV per atom: -3.316
Size of the total moment in μB/f.u.: 0.000

Geometry as CIF:
```
data_Be2Si2Hg
_cell_length_a 5.927
_cell_length_b 5.927
_cell_length_c 5.927
_cell_angle_alpha 143.63
_cell_angle_beta 143.63
_cell_angle_gamma 52.39
_symmetry_space_group_name_H-M 'P 1'
_symmetry_Int_Tables_number 1
loop_
_symmetry_equiv_pos_as_xyz
'x,y,z'
loop_
_atom_site_label
_atom_site_type_symbol
_atom_site_fract_x
_atom_site_fract_y
_atom_site_fract_z
_atom_site_occupancy
Be1 Be 0.606 0.606 0.000 1
Be2 Be 0.394 0.394 0.000 1
Si1 Si 0.250 0.750 0.500 1
Si2 Si 0.750 0.250 0.500 1
Hg1 Hg 0.000 0.000 0.000 1
```


Al3Ge: optimized geometry, PBE-GGA.

## Properties
Space group: Imm2 (44)
Energy of formation from the pure elements in eV/atom: 0.10
E_tot in eV per atom: -3.856
Size of the total moment in μB/f.u.: 0.000

Geometry as CIF:
```
data_Al3Ge
_cell_length_a 2.994
_cell_length_b 4.851
_cell_length_c 5.528
_cell_angle_alpha 116.02
_cell_angle_beta 105.71
_cell_angle_gamma 90.00
_symmetry_space_group_name_H-M 'P 1'
_symmetry_Int_Tables_number 1
loop_
_symmetry_equiv_pos_as_xyz
'x,y,z'
loop_
_atom_site_label
_atom_site_type_symbol
_atom_site_fract_x
_atom_site_fract_y
_atom_site_fract_z
_atom_site_occupancy
Ge1 Ge 0.000 0.999 0.000 1
Al1 Al 0.250 0.584 0.499 1
Al2 Al 0.500 0.499 0.000 1
Al3 Al 0.750 0.085 0.501 1
```


BaRhSe2: optimized geometry, PBE-GGA.

## Properties
Space group: R-3m (166)
Formation energy from raw total energies in eV per atom: -0.48
E_tot in eV per atom: -4.536
Size of the total moment in μB/f.u.: 0.424

Geometry as CIF:
```
data_BaRhSe2
_cell_length_a 8.974
_cell_length_b 8.974
_cell_length_c 8.974
_cell_angle_alpha 25.35
_cell_angle_beta 25.35
_cell_angle_gamma 25.35
_symmetry_space_group_name_H-M 'P 1'
_symmetry_Int_Tables_number 1
loop_
_symmetry_equiv_pos_as_xyz
'x,y,z'
loop_
_atom_site_label
_atom_site_type_symbol
_atom_site_fract_x
_atom_site_fract_y
_atom_site_fract_z
_atom_site_occupancy
Rh1 Rh 0.500 0.500 0.500 1
Ba1 Ba 0.000 0.000 0.000 1
Se1 Se 0.878 0.878 0.878 1
Se2 Se 0.122 0.122 0.122 1
```


K2MgCo: optimized geometry, PBE-GGA.

## Properties
Space group: I4/mmm (139)
Energy of formation from the pure elements in eV/atom: 0.84
E_tot in eV per atom: -1.882
Size of the total moment in μB/f.u.: 1.611

Geometry as CIF:
```
data_K2MgCo
_cell_length_a 6.428
_cell_length_b 6.428
_cell_length_c 6.428
_cell_angle_alpha 134.86
_cell_angle_beta 134.86
_cell_angle_gamma 65.75
_symmetry_space_group_name_H-M 'P 1'
_symmetry_Int_Tables_number 1
loop_
_symmetry_equiv_pos_as_xyz
'x,y,z'
loop_
_atom_site_label
_atom_site_type_symbol
_atom_site_fract_x
_atom_site_fract_y
_atom_site_fract_z
_atom_site_occupancy
Co1 Co 0.750 0.250 0.500 1
K1 K 0.000 0.000 0.000 1
K2 K 0.500 0.500 0.000 1
Mg1 Mg 0.250 0.750 0.500 1
```


PmCoN: optimized geometry, PBE-GGA.

## Properties
Space group: Cmcm (63)
Formation energy from raw total energies in eV per atom: -0.71
E_tot in eV per atom: -7.434
Size of the total moment in μB/f.u.: 0.697

Geometry as CIF:
```
data_PmCoN
_cell_length_a 5.031
_cell_length_b 4.567
_cell_length_c 4.932
_cell_angle_alpha 90.00
_cell_angle_beta 120.67
_cell_angle_gamma 90.00
_symmetry_space_group_name_H-M 'P 1'
_symmetry_Int_Tables_number 1
loop_
_symmetry_equiv_pos_as_xyz
'x,y,z'
loop_
_atom_site_label
_atom_site_type_symbol
_atom_site_fract_x
_atom_site_fract_y
_atom_site_fract_z
_atom_site_occupancy
Pm1 Pm 0.311 0.750 0.621 1
Pm2 Pm 0.689 0.250 0.379 1
N1 N 0.175 0.250 0.351 1
N2 N 0.825 0.750 0.649 1
Co1 Co 0.000 0.000 0.000 1
Co2 Co 0.000 0.500 0.000 1
```


SrLiI2Cl: optimized geometry, PBE-GGA.

## Properties
Space group: P4/mmm (123)
Formation energy from raw total energies in eV per atom: -1.05
E_tot in eV per atom: -2.759
Size of the total moment in μB/f.u.: 0.000

Geometry as CIF:
```
data_SrLiI2Cl
_cell_length_a 6.645
_cell_length_b 4.271
_cell_length_c 6.645
_cell_angle_alpha 90.00
_cell_angle_beta 90.00
_cell_angle_gamma 90.00
_symmetry_space_group_name_H-M 'P 1'
_symmetry_Int_Tables_number 1
loop_
_symmetry_equiv_pos_as_xyz
'x,y,z'
loop_
_atom_site_label
_atom_site_type_symbol
_atom_site_fract_x
_atom_site_fract_y
_atom_site_fract_z
_atom_site_occupancy
I1 I 0.000 0.000 0.500 1
I2 I 0.500 0.000 0.000 1
Sr1 Sr 0.500 0.500 0.500 1
Li1 Li 0.000 0.500 0.000 1
Cl1 Cl 0.000 0.000 0.000 1
```


La2TlHgRh: optimized geometry, PBE-GGA.

## Properties
Space group: P4/mmm (123)
Energy of formation from the pure elements in eV/atom: -0.42
E_tot in eV per atom: -4.398
Size of the total moment in μB/f.u.: 0.001

Geometry as CIF:
```
data_La2TlHgRh
_cell_length_a 5.459
_cell_length_b 5.459
_cell_length_c 5.266
_cell_angle_alpha 90.00
_cell_angle_beta 90.00
_cell_angle_gamma 90.00
_symmetry_space_group_name_H-M 'P 1'
_symmetry_Int_Tables_number 1
loop_
_symmetry_equiv_pos_as_xyz
'x,y,z'
loop_
_atom_site_label
_atom_site_type_symbol
_atom_site_fract_x
_atom_site_fract_y
_atom_site_fract_z
_atom_site_occupancy
Tl1 Tl 0.000 0.000 0.500 1
Rh1 Rh 0.000 0.000 0.000 1
Hg1 Hg 0.500 0.500 0.500 1
La1 La 0.000 0.500 0.000 1
La2 La 0.500 0.000 0.000 1
```


YTi2CuSn: optimized geometry, PBE-GGA.

## Properties
Space group: P4/mmm (123)
Energy of formation from the pure elements in eV/atom: 0.19
E_tot in eV per atom: -5.885
Size of the total moment in μB/f.u.: 0.000

Geometry as CIF:
```
data_YTi2CuSn
_cell_length_a 4.704
_cell_length_b 5.126
_cell_length_c 4.704
_cell_angle_alpha 90.00
_cell_angle_beta 90.00
_cell_angle_gamma 90.00
_symmetry_space_group_name_H-M 'P 1'
_symmetry_Int_Tables_number 1
loop_
_symmetry_equiv_pos_as_xyz
'x,y,z'
loop_
_atom_site_label
_atom_site_type_symbol
_atom_site_fract_x
_atom_site_fract_y
_atom_site_fract_z
_atom_site_occupancy
Y1 Y 0.000 0.500 0.000 1
Sn1 Sn 0.500 0.500 0.500 1
Cu1 Cu 0.000 0.000 0.000 1
Ti1 Ti 0.000 0.000 0.500 1
Ti2 Ti 0.500 0.000 0.000 1
```


SmTm8Sb6: optimized geometry, PBE-GGA.

## Properties
Space group: R-3 (148)
Formation energy from raw total energies in eV per atom: -0.70
E_tot in eV per atom: -5.049
Size of the total moment in μB/f.u.: 0.000

Geometry as CIF:
```
data_SmTm8Sb6
_cell_length_a 7.945
_cell_length_b 7.945
_cell_length_c 9.384
_cell_angle_alpha 64.96
_cell_angle_beta 64.96
_cell_angle_gamma 60.00
_symmetry_space_group_name_H-M 'P 1'
_symmetry_Int_Tables_number 1
loop_
_symmetry_equiv_pos_as_xyz
'x,y,z'
loop_
_atom_site_label
_atom_site_type_symbol
_atom_site_fract_x
_atom_site_fract_y
_atom_site_fract_z
_atom_site_occupancy
Sm1 Sm 0.000 0.000 0.000 1
Tm1 Tm 0.553 0.205 0.368 1
Tm2 Tm 0.795 0.126 0.632 1
Tm3 Tm 0.126 0.447 0.632 1
Tm4 Tm 0.666 0.666 0.001 1
Tm5 Tm 0.334 0.334 0.999 1
Tm6 Tm 0.874 0.553 0.368 1
Tm7 Tm 0.205 0.874 0.368 1
Tm8 Tm 0.447 0.795 0.632 1
Sb1 Sb 0.411 0.066 0.794 1
Sb2 Sb 0.934 0.272 0.206 1
Sb3 Sb 0.272 0.589 0.206 1
Sb4 Sb 0.728 0.411 0.794 1
Sb5 Sb 0.066 0.728 0.794 1
Sb6 Sb 0.589 0.934 0.206 1
```


MgPPt2: optimized geometry, PBE-GGA.

## Properties
Space group: C2/m (12)
Energy of formation from the pure elements in eV/atom: -0.40
E_tot in eV per atom: -5.174
Size of the total moment in μB/f.u.: 0.000

Geometry as CIF:
```
data_MgPPt2
_cell_length_a 4.562
_cell_length_b 4.562
_cell_length_c 4.822
_cell_angle_alpha 76.51
_cell_angle_beta 76.51
_cell_angle_gamma 39.41
_symmetry_space_group_name_H-M 'P 1'
_symmetry_Int_Tables_number 1
loop_
_symmetry_equiv_pos_as_xyz
'x,y,z'
loop_
_atom_site_label
_atom_site_type_symbol
_atom_site_fract_x
_atom_site_fract_y
_atom_site_fract_z
_atom_site_occupancy
Mg1 Mg 0.750 0.750 0.750 1
P1 P 0.250 0.250 0.250 1
Pt1 Pt 0.985 0.985 0.012 1
Pt2 Pt 0.515 0.515 0.488 1
```


Ac3RhAu: optimized geometry, PBE-GGA.

## Properties
Space group: C2/m (12)
Energy of formation from the pure elements in eV/atom: -0.56
E_tot in eV per atom: -5.151
Size of the total moment in μB/f.u.: 0.000

Geometry as CIF:
```
data_Ac3RhAu
_cell_length_a 5.902
_cell_length_b 7.359
_cell_length_c 9.433
_cell_angle_alpha 114.64
_cell_angle_beta 90.00
_cell_angle_gamma 113.64
_symmetry_space_group_name_H-M 'P 1'
_symmetry_Int_Tables_number 1
loop_
_symmetry_equiv_pos_as_xyz
'x,y,z'
loop_
_atom_site_label
_atom_site_type_symbol
_atom_site_fract_x
_atom_site_fract_y
_atom_site_fract_z
_atom_site_occupancy
Ac1 Ac 0.889 0.778 0.771 1
Ac2 Ac 0.111 0.222 0.229 1
Ac3 Ac 0.611 0.222 0.873 1
Ac4 Ac 0.389 0.778 0.127 1
Ac5 Ac 0.831 0.662 0.355 1
Ac6 Ac 0.169 0.338 0.645 1
Rh1 Rh 0.135 0.269 0.933 1
Rh2 Rh 0.865 0.731 0.067 1
Au1 Au 0.370 0.740 0.534 1
Au2 Au 0.630 0.260 0.466 1
```


CuAgIr: optimized geometry, PBE-GGA.

## Properties
Space group: Fmm2 (42)
Energy of formation from the pure elements in eV/atom: 0.27
E_tot in eV per atom: -5.001
Size of the total moment in μB/f.u.: 0.001

Geometry as CIF:
```
data_CuAgIr
_cell_length_a 7.327
_cell_length_b 7.089
_cell_length_c 2.708
_cell_angle_alpha 84.18
_cell_angle_beta 74.25
_cell_angle_gamma 21.57
_symmetry_space_group_name_H-M 'P 1'
_symmetry_Int_Tables_number 1
loop_
_symmetry_equiv_pos_as_xyz
'x,y,z'
loop_
_atom_site_label
_atom_site_type_symbol
_atom_site_fract_x
_atom_site_fract_y
_atom_site_fract_z
_atom_site_occupancy
Ag1 Ag 0.995 0.995 0.005 1
Cu1 Cu 0.330 0.330 0.670 1
Ir1 Ir 0.675 0.675 0.325 1
```